#a
Compound: YAs2BrN
Source: the Alexandria database
Functional: PBE-GGA
Structure: relaxed

The structure in POSCAR format:
```
YAs2BrN
1.0
-3.184 -1.518 -4.413
-2.450 -4.003 3.145
-3.974 3.688 1.599
As Br N Y
2 1 1 1
direct
0.000 0.500 0.000
0.500 0.000 0.000
0.000 0.000 0.500
0.500 0.500 0.500
0.000 0.000 0.000
```


#b
Compound: YAs2BrN
Source: the Alexandria database
Functional: PBE-GGA
Structure: relaxed

The structure in POSCAR format:
```
YAs2BrN
1.0
-0.148 3.789 -2.207
-0.678 -2.201 -3.734
-4.829 0.240 0.735
N Br Y As
1 1 1 2
direct
0.000 0.000 0.000
0.000 0.000 0.500
0.500 0.500 0.500
0.000 0.500 0.000
0.500 0.000 0.000
```


Most stable one: #b, least stable one: #a.


#a
Compound: YAsBr2N
Source: the Alexandria database
Functional: PBE-GGA
Structure: relaxed

The structure in POSCAR format:
```
YAsBr2N
1.0
4.582 0.000 0.000
0.000 4.582 0.000
0.000 0.000 4.813
As Br Y N
1 2 1 1
direct
0.000 0.000 0.500
0.000 0.500 0.000
0.500 0.000 0.000
0.500 0.500 0.500
0.000 0.000 0.000
```


#b
Compound: YAsBr2N
Source: the Alexandria database
Functional: PBE-GGA
Structure: relaxed

The structure in POSCAR format:
```
YAsBr2N
1.0
-0.363 5.389 1.330
-1.819 1.144 -5.130
-5.566 -0.817 1.792
Br As Y N
2 1 1 1
direct
0.000 0.500 0.000
0.500 0.000 0.000
0.000 0.000 0.500
0.000 0.000 0.000
0.500 0.500 0.500
```


Most stable one: #a, least stable one: #b.


#a
Compound: ZnAs2BrN
Source: the Alexandria database
Functional: PBE-GGA
Structure: relaxed

The structure in POSCAR format:
```
ZnAs2BrN
1.0
-0.712 -4.181 1.005
2.089 -1.226 -3.623
4.193 -0.123 2.460
As Zn Br N
2 1 1 1
direct
0.500 0.000 0.000
0.000 0.500 0.000
0.500 0.500 0.500
0.000 0.000 0.500
0.000 0.000 0.000
```


#b
Compound: ZnAs2BrN
Source: the Alexandria database
Functional: PBE-GGA
Structure: relaxed

The structure in POSCAR format:
```
ZnAs2BrN
1.0
4.894 0.000 0.000
0.000 4.894 0.000
0.000 0.000 5.331
Br N As Zn
1 1 2 1
direct
0.000 0.000 0.500
0.500 0.500 0.500
0.500 0.000 0.000
0.000 0.500 0.000
0.000 0.000 0.000
```


Most stable one: #a, least stable one: #b.


#a
Compound: Na2AsBr4
Source: the Alexandria database
Functional: PBE-GGA
Structure: relaxed

The structure in POSCAR format:
```
Na2AsBr4
1.0
5.541 0.000 0.000
0.000 5.541 0.000
2.771 2.771 7.421
Br As Na
4 1 2
direct
0.000 0.500 0.000
0.179 0.179 0.641
0.821 0.821 0.359
0.500 0.000 0.000
0.000 0.000 0.000
0.371 0.371 0.258
0.629 0.629 0.742
```


#b
Compound: Na2AsBr4
Source: the Alexandria database
Functional: PBE-GGA
Structure: relaxed

The structure in POSCAR format:
```
Na2AsBr4
1.0
-7.352 -0.073 -0.842
0.586 -5.756 -4.614
3.048 0.357 5.876
Br Na As
4 2 1
direct
0.804 0.304 0.108
0.696 0.696 0.892
0.304 0.804 0.108
0.196 0.196 0.892
0.750 0.250 0.500
0.250 0.750 0.500
0.500 0.500 0.000
```


Most stable one: #b, least stable one: #a.


#a
Compound: NaNbAsBr2
Source: the Alexandria database
Functional: PBE-GGA
Structure: relaxed

The structure in POSCAR format:
```
NaNbAsBr2
1.0
5.037 0.000 0.000
0.000 5.037 0.000
0.000 0.000 5.494
Br As Na Nb
2 1 1 1
direct
0.500 0.000 0.000
0.000 0.500 0.000
0.000 0.000 0.500
0.000 0.000 0.000
0.500 0.500 0.500
```


#b
Compound: NaNbAsBr2
Source: the Alexandria database
Functional: PBE-GGA
Structure: relaxed

The structure in POSCAR format:
```
NaNbAsBr2
1.0
5.341 0.000 0.000
0.000 5.341 0.000
0.000 0.000 5.015
Na Br As Nb
1 2 1 1
direct
0.500 0.500 0.500
0.500 0.000 0.000
0.000 0.500 0.000
0.000 0.000 0.500
0.000 0.000 0.000
```


Most stable one: #b, least stable one: #a.


#a
Compound: NaAsBr2O
Source: the Alexandria database
Functional: PBE-GGA
Structure: relaxed

The structure in POSCAR format:
```
NaAsBr2O
1.0
-0.276 4.736 1.829
-4.990 -0.591 0.778
1.049 -1.961 5.238
Br O Na As
2 1 1 1
direct
0.000 0.500 0.000
0.500 0.000 0.000
0.500 0.500 0.500
0.000 0.000 0.000
0.000 0.000 0.500
```


#b
Compound: NaAsBr2O
Source: the Alexandria database
Functional: PBE-GGA
Structure: relaxed

The structure in POSCAR format:
```
NaAsBr2O
1.0
-3.879 -0.414 4.562
1.070 -5.894 0.375
2.748 0.651 2.396
Br O Na As
2 1 1 1
direct
0.000 0.500 0.000
0.500 0.000 0.000
0.000 0.000 0.000
0.500 0.500 0.500
0.000 0.000 0.500
```


Most stable one: #b, least stable one: #a.